{
  "formula": "Sr3Np3TiN8",
  "functional": "PBE",
  "state": "relaxed",
  "lattice_angstrom": [[-2.7432, -4.9027, -3.8445], [6.6424, -0.1547, 1.4838], [-4.6868, -1.4632, 5.2084]],
  "species": ["Sr", "Sr", "Sr", "Np", "Np", "Np", "Ti", "N", "N", "N", "N", "N", "N", "N", "N"],
  "frac_coords": [[0.0000, 0.0000, 0.0000], [0.0000, 0.5000, 0.0000], [0.5000, 0.5000, 0.0000], [0.5000, 0.0000, 0.5000], [0.5000, 0.5000, 0.5000], [0.0000, 0.5000, 0.5000], [0.0000, 0.0000, 0.5000], [0.2645, 0.5291, 0.2937], [0.7355, 0.4709, 0.7063], [0.7804, 0.5608, 0.3216], [0.2196, 0.4392, 0.6784], [0.7803, 0.0410, 0.3215], [0.2197, 0.9590, 0.6785], [0.2606, 0.0410, 0.3215], [0.7394, 0.9590, 0.6785]],
  "spacegroup": "No. 166",
  "raw_formation_energy_ev_per_atom": -1.033,
  "magmom_total_mub_per_cell": 7.0,
  "dft_energy_ev_per_atom": -8.924
}